No. 1
Density functional theory data (PBE) for crystalline BaSbTeN2 at its relaxed geometry.

a b c (Å): 4.560 4.560 5.876
angles (deg): 90.00 90.00 90.00
Space group P4/mmm (No. 123)
Symmetry-distinct sites (fractional):
Ba 0.000 0.000 0.000 (multiplicity 1)
Sb 0.500 0.500 0.500 (multiplicity 1)
Te 0.500 0.500 0.000 (multiplicity 1)
N 0.000 0.500 0.500 (multiplicity 2)

Distance to the lowest polymorph of the same formula: 0 meV/atom
Formation energy (no corrections): 13.634 kcal/mol of atoms

---

No. 2
Density functional theory data (PBE) for crystalline YSn at its relaxed geometry.

a b c (Å): 5.165 10.457 6.286
angles (deg): 90.00 90.00 90.00
Space group Imm2 (No. 44)
Symmetry-distinct sites (fractional):
Y 0.000 0.000 0.000 (multiplicity 2)
Y 0.000 0.324 0.165 (multiplicity 4)
Sn 0.000 0.000 0.508 (multiplicity 2)
Sn 0.000 0.341 0.659 (multiplicity 4)

VASP energy: -5.83 eV/atom

---

No. 3
Density functional theory data (PBE) for crystalline TiVTc at its relaxed geometry.

a b c (Å): 6.157 3.066 9.285
angles (deg): 90.00 90.00 90.00
Space group Pnma (No. 62)
Symmetry-distinct sites (fractional):
Ti 0.131 0.250 0.092 (multiplicity 4)
V 0.118 0.250 0.411 (multiplicity 4)
Tc 0.125 0.250 0.751 (multiplicity 4)

Distance to the lowest polymorph of the same formula: 0 meV/atom

---

No. 4
Density functional theory data (PBE) for crystalline HoScNi4 at its relaxed geometry.

a b c (Å): 7.031 7.031 7.031
angles (deg): 90.00 90.00 90.00
Space group F-43m (No. 216)
Symmetry-distinct sites (fractional):
Ho 0.000 0.000 0.000 (multiplicity 4)
Sc 0.250 0.250 0.750 (multiplicity 4)
Ni 0.125 0.125 0.375 (multiplicity 16)

VASP energy: -6.16 eV/atom

---

No. 5
Density functional theory data (PBE) for crystalline YIr2Pt at its relaxed geometry.

a b c (Å): 6.565 6.565 6.565
angles (deg): 90.00 90.00 90.00
Space group F-43m (No. 216)
Symmetry-distinct sites (fractional):
Y 0.000 0.000 0.000 (multiplicity 4)
Ir 0.000 0.000 0.500 (multiplicity 4)
Ir 0.250 0.250 0.250 (multiplicity 4)
Pt 0.250 0.250 0.750 (multiplicity 4)

Distance to the lowest polymorph of the same formula: 399 meV/atom

---

No. 6
Density functional theory data (PBE) for crystalline ZrBe2GaGe at its relaxed geometry.

a b c (Å): 4.075 4.075 5.243
angles (deg): 90.00 90.00 90.00
Space group P4/mmm (No. 123)
Symmetry-distinct sites (fractional):
Zr 0.000 0.000 0.000 (multiplicity 1)
Be 0.000 0.500 0.500 (multiplicity 2)
Ga 0.500 0.500 0.500 (multiplicity 1)
Ge 0.500 0.500 0.000 (multiplicity 1)

VASP energy: -4.19 eV/atom

---

No. 7
Density functional theory data (PBE) for crystalline TbPr5Y2Er at its relaxed geometry.

a b c (Å): 8.686 8.686 16.752
angles (deg): 90.00 90.00 90.00
Space group I4/mcm (No. 140)
Symmetry-distinct sites (fractional):
Tb 0.000 0.000 0.250 (multiplicity 4)
Pr 0.000 0.000 0.000 (multiplicity 4)
Pr 0.213 0.287 0.143 (multiplicity 16)
Y 0.122 0.378 0.500 (multiplicity 8)
Er 0.000 0.500 0.250 (multiplicity 4)

VASP energy: -4.80 eV/atom

---

No. 8
Density functional theory data (PBE) for crystalline CoTcHg2 at its relaxed geometry.

a b c (Å): 4.106 4.106 8.089
angles (deg): 90.00 90.00 90.00
Space group I-4m2 (No. 119)
Symmetry-distinct sites (fractional):
Co 0.000 0.000 0.000 (multiplicity 2)
Tc 0.000 0.500 0.250 (multiplicity 2)
Hg 0.000 0.000 0.500 (multiplicity 2)
Hg 0.000 0.500 0.750 (multiplicity 2)

Distance to the lowest polymorph of the same formula: 362 meV/atom

---

| no. | ρ (g/cm³) |
| --- | --- |
| 1 | 5.6 |
| 2 | 6.1 |
| 3 | 7.5 |
| 4 | 8.5 |
| 5 | 15.7 |
| 6 | 4.8 |
| 7 | 6.4 |
| 8 | 13.6 |